[1]
A plane-wave DFT calculation with PBE was carried out for an optimized crystal structure of SmMgSn2.

Cell lengths 4.5505, 4.5505, 19.7158 Å; angles 90.00, 90.00, 120.00 degrees
Closest atoms and distances in Å follow each position.
Space group R3m (No. 160, hexagonal axes)
Inequivalent atoms, fractional coordinates:
Sm1 0.0000 0.0000 0.0000 [3 per cell]  6 Sn 3.14-3.25
Mg1 0.0000 0.0000 0.8210 [3 per cell]  6 Sn 2.94-3.09
Sn1 0.0000 0.0000 0.4207 [3 per cell]  1 Sn 2.94, 3 Mg 2.94, 3 Sm 3.14
Sn2 0.0000 0.0000 0.5697 [3 per cell]  1 Sn 2.94, 3 Mg 3.09, 3 Sm 3.25

energy	-3.93	eV per atom
calculated density	5.81	Mg/m³
ΔE_f	-1.4	eV/f.u.

=====

[2]
A plane-wave DFT calculation with PBE was carried out for an optimized crystal structure of Sm2Mg3Sn4.

Cell lengths 6.4474, 16.6122, 8.5936 Å; angles 90.00, 90.00, 90.00 degrees
Closest atoms and distances in Å follow each position.
Space group Cmce (No. 64)
Inequivalent atoms, fractional coordinates:
Sm1 0.0000 0.1138 0.0842 [8 per cell]  8 Sn 3.36-3.55, 4 Mg 3.56-3.70
Mg1 0.0000 0.0000 0.5000 [4 per cell]  6 Sn 2.78-3.08
Mg2 0.2500 0.2153 0.7500 [8 per cell]  5 Sn 2.84-3.08
Sn1 0.0000 0.1839 0.4508 [8 per cell]  5 Mg 2.90-3.08
Sn2 0.2500 0.0443 0.7500 [8 per cell]  3 Mg 2.78-2.84

energy	-3.81	eV per atom
calculated density	6.12	Mg/m³
ΔE_f	-4.0	eV/f.u.

=====

[3]
A plane-wave DFT calculation with PBE was carried out for an optimized crystal structure of SmMgSn2.

Cell lengths 4.7753, 4.7753, 4.4601 Å; angles 90.00, 90.00, 90.00 degrees
Closest atoms and distances in Å follow each position.
Space group P4/mmm (No. 123)
Inequivalent atoms, fractional coordinates:
Sm1 0.0000 0.0000 0.0000 [1 per cell]  8 Sn 3.27, 4 Mg 3.38
Mg1 0.5000 0.5000 0.0000 [1 per cell]  8 Sn 3.27, 4 Sm 3.38
Sn1 0.0000 0.5000 0.5000 [2 per cell]  4 Mg 3.27, 4 Sm 3.27, 4 Sn 3.38

energy	-4.11	eV per atom
calculated density	6.73	Mg/m³
ΔE_f	-2.1	eV/f.u.

=====

[4]
A plane-wave DFT calculation with PBE was carried out for an optimized crystal structure of SmMgSn.

Cell lengths 4.5349, 11.1350, 6.3838 Å; angles 90.00, 90.00, 90.00 degrees
Closest atoms and distances in Å follow each position.
Space group Cmcm (No. 63)
Inequivalent atoms, fractional coordinates:
Sm1 0.0000 0.1946 0.2500 [4 per cell]  5 Sn 3.15-3.38, 4 Mg 3.52
Mg1 0.0000 0.5000 0.0000 [4 per cell]  4 Sn 3.02, 2 Mg 3.19
Sn1 0.0000 0.1085 0.7500 [4 per cell]  4 Mg 3.02, 5 Sm 3.15-3.38

energy	-3.95	eV per atom
calculated density	6.05	Mg/m³
ΔE_f	-1.5	eV/f.u.